No. 1
Density functional theory data (PBE) for a relaxed structure of InNiP4. Values from VASP.

```
&SYSTEM
  ibrav = 0, nat = 6, ntyp = 3
/
ATOMIC_SPECIES
In 114.82 In.upf
Ni 58.69 Ni.upf
P 30.97 P.upf
ATOMIC_POSITIONS crystal
In 0.0000 0.0000 0.0000
Ni 0.7500 0.7500 0.7500
P 0.3797 0.3797 0.3797
P 0.3797 0.3797 0.8609
P 0.3797 0.8609 0.3797
P 0.8609 0.3797 0.3797
CELL_PARAMETERS angstrom
0.0000 3.6454 3.6454
3.6454 0.0000 3.6454
3.6454 3.6454 0.0000
```

Calculated values
formation energy from the elements = 0.6618 eV/atom
calculated density = 5.10 g/cm³
space group = No. 216



No. 2
Density functional theory data (PBE) for a relaxed structure of KTa5Pb2O15. Values from VASP.

```
&SYSTEM
  ibrav = 0, nat = 46, ntyp = 4
/
ATOMIC_SPECIES
K 39.10 K.upf
Ta 180.95 Ta.upf
Pb 207.20 Pb.upf
O 16.00 O.upf
ATOMIC_POSITIONS crystal
K 0.0000 0.0812 0.0000
K 0.0000 0.9188 0.5000
Ta 0.5000 0.0324 0.2566
Ta 0.5000 0.1717 0.5463
Ta 0.5000 0.2545 0.8265
Ta 0.5000 0.3164 0.1163
Ta 0.5000 0.4589 0.4150
Ta 0.5000 0.5411 0.9150
Ta 0.5000 0.6836 0.6163
Ta 0.5000 0.7455 0.3265
Ta 0.5000 0.8283 0.0463
Ta 0.5000 0.9676 0.7566
Pb 0.0000 0.2377 0.3365
Pb 0.0000 0.4736 0.7054
Pb 0.0000 0.5264 0.2054
Pb 0.0000 0.7623 0.8365
O 0.0000 0.0481 0.2492
O 0.0000 0.1723 0.5245
O 0.0000 0.2552 0.8245
O 0.0000 0.3330 0.1216
O 0.0000 0.4568 0.3921
O 0.0000 0.5432 0.8921
O 0.0000 0.6670 0.6216
O 0.0000 0.7448 0.3245
O 0.0000 0.8277 0.0245
O 0.0000 0.9519 0.7492
O 0.5000 0.0372 0.6140
O 0.5000 0.0970 0.8278
O 0.5000 0.1114 0.3907
O 0.5000 0.1840 0.1860
O 0.5000 0.2513 0.6698
O 0.5000 0.2508 0.9807
O 0.5000 0.3151 0.4610
O 0.5000 0.3995 0.2527
O 0.5000 0.4092 0.8246
O 0.5000 0.4681 0.0426
O 0.5000 0.5319 0.5426
O 0.5000 0.5908 0.3246
O 0.5000 0.6005 0.7527
O 0.5000 0.6849 0.9610
O 0.5000 0.7487 0.1698
O 0.5000 0.7492 0.4807
O 0.5000 0.8160 0.6860
O 0.5000 0.8886 0.8907
O 0.5000 0.9030 0.3278
O 0.5000 0.9628 0.1140
CELL_PARAMETERS angstrom
3.9605 0.0000 0.0000
0.0000 12.8203 0.0000
0.0000 0.0000 12.8337
```

Calculated values
ΔE_f (raw) = -2.567 eV/atom
calculated density = 8.15 g/cm³
space group = No. 26



No. 3
Density functional theory data (PBE) for a relaxed structure of HfZnTeBr2. Values from VASP.

```
&SYSTEM
  ibrav = 0, nat = 5, ntyp = 4
/
ATOMIC_SPECIES
Hf 178.49 Hf.upf
Zn 65.41 Zn.upf
Te 127.60 Te.upf
Br 79.90 Br.upf
ATOMIC_POSITIONS crystal
Hf 0.0000 0.0000 0.0000
Zn 0.5000 0.5000 0.5000
Te 0.5000 0.5000 0.0000
Br 0.0000 0.5000 0.5000
Br 0.5000 0.0000 0.5000
CELL_PARAMETERS angstrom
4.9097 0.0000 0.0000
0.0000 4.9097 0.0000
0.0000 0.0000 5.6710
```

Calculated values
ΔE_f (raw) = 0.206 eV/atom
calculated density = 6.45 g/cm³
space group = No. 123



No. 4
Density functional theory data (PBE) for a relaxed structure of Li4CuF7. Values from VASP.

```
&SYSTEM
  ibrav = 0, nat = 12, ntyp = 3
/
ATOMIC_SPECIES
Li 6.94 Li.upf
Cu 63.55 Cu.upf
F 19.00 F.upf
ATOMIC_POSITIONS crystal
Li 0.1229 0.1229 0.1229
Li 0.1229 0.1229 0.6313
Li 0.1229 0.6313 0.1229
Li 0.6313 0.1229 0.1229
Cu 0.7500 0.7500 0.7500
F 0.0000 0.0000 0.0000
F 0.5166 0.5166 0.9834
F 0.5166 0.9834 0.5166
F 0.5166 0.9834 0.9834
F 0.9834 0.5166 0.5166
F 0.9834 0.5166 0.9834
F 0.9834 0.9834 0.5166
CELL_PARAMETERS angstrom
0.0000 4.1844 4.1844
4.1844 0.0000 4.1844
4.1844 4.1844 0.0000
```

Calculated values
ΔE_f (raw) = -2.407 eV/atom
calculated density = 2.54 g/cm³
space group = No. 216
distance to the lowest polymorph of the same formula = 0 meV/atom



No. 5
Density functional theory data (PBE) for a relaxed structure of SmGe2Ir2. Values from VASP.

```
&SYSTEM
  ibrav = 0, nat = 10, ntyp = 3
/
ATOMIC_SPECIES
Sm 150.36 Sm.upf
Ge 72.64 Ge.upf
Ir 192.22 Ir.upf
ATOMIC_POSITIONS crystal
Sm 0.2500 0.2500 0.2455
Sm 0.7500 0.7500 0.7545
Ge 0.2500 0.2500 0.6319
Ge 0.2500 0.7500 0.0000
Ge 0.7500 0.2500 0.0000
Ge 0.7500 0.7500 0.3681
Ir 0.2500 0.2500 0.8722
Ir 0.2500 0.7500 0.5000
Ir 0.7500 0.2500 0.5000
Ir 0.7500 0.7500 0.1278
CELL_PARAMETERS angstrom
4.2635 0.0000 0.0000
0.0000 4.2635 0.0000
0.0000 0.0000 10.1474
```

Calculated values
formation energy from the elements = -0.7759 eV/atom
calculated density = 12.24 g/cm³
space group = No. 129



No. 6
Density functional theory data (PBE) for a relaxed structure of NiBPOs2. Values from VASP.

```
&SYSTEM
  ibrav = 0, nat = 5, ntyp = 4
/
ATOMIC_SPECIES
Ni 58.69 Ni.upf
B 10.81 B.upf
P 30.97 P.upf
Os 190.23 Os.upf
ATOMIC_POSITIONS crystal
Ni 0.0000 0.0000 0.0000
B 0.5000 0.5000 0.5000
P 0.5000 0.5000 0.0000
Os 0.0000 0.5000 0.5000
Os 0.5000 0.0000 0.5000
CELL_PARAMETERS angstrom
4.0899 0.0000 0.0000
0.0000 4.0899 0.0000
0.0000 0.0000 3.8630
```

Calculated values
formation energy from the elements = 0.8300 eV/atom
calculated density = 12.36 g/cm³
space group = No. 123



No. 7
Density functional theory data (PBE) for a relaxed structure of KLaSn2. Values from VASP.

```
&SYSTEM
  ibrav = 0, nat = 8, ntyp = 3
/
ATOMIC_SPECIES
K 39.10 K.upf
La 138.91 La.upf
Sn 118.71 Sn.upf
ATOMIC_POSITIONS crystal
K 0.0000 0.0000 0.0000
K 0.7500 0.2500 0.5000
La 0.2500 0.7500 0.5000
La 0.5000 0.5000 0.0000
Sn 0.2153 0.6250 0.0903
Sn 0.3750 0.4653 0.5903
Sn 0.5347 0.1250 0.9097
Sn 0.8750 0.7847 0.4097
CELL_PARAMETERS angstrom
-2.7448 2.7448 11.0301
2.7448 -2.7448 11.0301
2.7448 2.7448 -11.0301
```

Calculated values
formation energy from the elements = 0.0156 eV/atom
calculated density = 4.15 g/cm³
space group = No. 122
distance to the lowest polymorph of the same formula = 450 meV/atom



No. 8
Density functional theory data (PBE) for a relaxed structure of Np2TaPd9. Values from VASP.

```
&SYSTEM
  ibrav = 0, nat = 12, ntyp = 3
/
ATOMIC_SPECIES
Np 237.00 Np.upf
Ta 180.95 Ta.upf
Pd 106.42 Pd.upf
ATOMIC_POSITIONS crystal
Np 0.0000 0.0000 0.1693
Np 0.0000 0.0000 0.8307
Ta 0.0000 0.0000 0.5000
Pd 0.0000 0.5000 0.0000
Pd 0.0000 0.5000 0.3483
Pd 0.0000 0.5000 0.6517
Pd 0.5000 0.0000 0.0000
Pd 0.5000 0.0000 0.3483
Pd 0.5000 0.0000 0.6517
Pd 0.5000 0.5000 0.1755
Pd 0.5000 0.5000 0.5000
Pd 0.5000 0.5000 0.8245
CELL_PARAMETERS angstrom
4.0924 0.0000 0.0000
0.0000 4.0924 0.0000
0.0000 0.0000 12.3061
```

Calculated values
formation energy from the elements = -0.4160 eV/atom
calculated density = 12.99 g/cm³
space group = No. 123



No. 9
Density functional theory data (PBE) for a relaxed structure of ZnTcW4. Values from VASP.

```
&SYSTEM
  ibrav = 0, nat = 6, ntyp = 3
/
ATOMIC_SPECIES
Zn 65.41 Zn.upf
Tc 98.00 Tc.upf
W 183.84 W.upf
ATOMIC_POSITIONS crystal
Zn 0.0000 0.0000 0.0000
Tc 0.7500 0.7500 0.7500
W 0.3745 0.3745 0.3745
W 0.3745 0.3745 0.8765
W 0.3745 0.8765 0.3745
W 0.8765 0.3745 0.3745
CELL_PARAMETERS angstrom
0.0000 3.6958 3.6958
3.6958 0.0000 3.6958
3.6958 3.6958 0.0000
```

Calculated values
formation energy from the elements = 0.5213 eV/atom
calculated density = 14.78 g/cm³
space group = No. 216



No. 10
Density functional theory data (PBE) for a relaxed structure of ZnCuRe2. Values from VASP.

```
&SYSTEM
  ibrav = 0, nat = 4, ntyp = 3
/
ATOMIC_SPECIES
Zn 65.41 Zn.upf
Cu 63.55 Cu.upf
Re 186.21 Re.upf
ATOMIC_POSITIONS crystal
Zn 0.0000 0.0000 0.0000
Cu 0.5000 0.5000 0.5000
Re 0.2500 0.2500 0.2500
Re 0.7500 0.7500 0.7500
CELL_PARAMETERS angstrom
0.0000 3.0150 3.0150
3.0150 0.0000 3.0150
3.0150 3.0150 0.0000
```

Calculated values
formation energy from the elements = 0.5767 eV/atom
calculated density = 15.19 g/cm³
space group = No. 225
distance to the lowest polymorph of the same formula = 518 meV/atom



No. 11
Density functional theory data (PBE) for a relaxed structure of RbSiB. Values from VASP.

```
&SYSTEM
  ibrav = 0, nat = 12, ntyp = 3
/
ATOMIC_SPECIES
Rb 85.47 Rb.upf
Si 28.09 Si.upf
B 10.81 B.upf
ATOMIC_POSITIONS crystal
Rb 0.1936 0.1936 0.0000
Rb 0.3064 0.3064 0.5000
Rb 0.6936 0.6936 0.5000
Rb 0.8064 0.8064 0.0000
Si 0.1411 0.8589 0.6412
Si 0.3589 0.6411 0.1412
Si 0.6411 0.3589 0.8588
Si 0.8589 0.1411 0.3588
B 0.1551 0.8449 0.3451
B 0.3449 0.6551 0.8451
B 0.6551 0.3449 0.1549
B 0.8449 0.1551 0.6549
CELL_PARAMETERS angstrom
5.6503 -3.4518 0.0000
5.6503 3.4518 0.0000
0.0000 0.0000 6.9042
```

Calculated values
ΔE_f (raw) = 0.161 eV/atom
calculated density = 3.07 g/cm³
space group = No. 64



No. 12
Density functional theory data (PBE) for a relaxed structure of Dy3SnI7. Values from VASP.

```
&SYSTEM
  ibrav = 0, nat = 11, ntyp = 3
/
ATOMIC_SPECIES
Dy 162.50 Dy.upf
Sn 118.71 Sn.upf
I 126.90 I.upf
ATOMIC_POSITIONS crystal
Dy 0.0066 0.5033 0.0000
Dy 0.4967 0.5033 0.0000
Dy 0.4967 0.9934 0.0000
Sn 0.3333 0.6667 0.7409
I 0.1723 0.3446 0.2495
I 0.1723 0.8277 0.2495
I 0.3384 0.1692 0.7686
I 0.6554 0.8277 0.2495
I 0.6667 0.3333 0.2515
I 0.8308 0.1692 0.7686
I 0.8308 0.6616 0.7686
CELL_PARAMETERS angstrom
8.7943 0.0000 0.0000
-4.3971 7.6161 0.0000
0.0000 0.0000 7.2172
```

Calculated values
ΔE_f (raw) = -1.058 eV/atom
calculated density = 5.13 g/cm³
space group = No. 156



Please write out number 7 again, unchanged.
Density functional theory data (PBE) for a relaxed structure of KLaSn2. Values from VASP.

```
&SYSTEM
  ibrav = 0, nat = 8, ntyp = 3
/
ATOMIC_SPECIES
K 39.10 K.upf
La 138.91 La.upf
Sn 118.71 Sn.upf
ATOMIC_POSITIONS crystal
K 0.0000 0.0000 0.0000
K 0.7500 0.2500 0.5000
La 0.2500 0.7500 0.5000
La 0.5000 0.5000 0.0000
Sn 0.2153 0.6250 0.0903
Sn 0.3750 0.4653 0.5903
Sn 0.5347 0.1250 0.9097
Sn 0.8750 0.7847 0.4097
CELL_PARAMETERS angstrom
-2.7448 2.7448 11.0301
2.7448 -2.7448 11.0301
2.7448 2.7448 -11.0301
```

Calculated values
formation energy from the elements = 0.0156 eV/atom
calculated density = 4.15 g/cm³
space group = No. 122
distance to the lowest polymorph of the same formula = 450 meV/atom